Record 1
SiIr2Pt | SCAN | PBEsol geometry

CIF file:
```
data_SiIr2Pt
_chemical_formula_sum 'Si1 Ir2 Pt1'
_cell_length_a 2.8299
_cell_length_b 3.9142
_cell_length_c 5.2380
_cell_angle_alpha 90.00
_cell_angle_beta 104.05
_cell_angle_gamma 90.00
_space_group_name_H-M_alt 'P 1'
_space_group_IT_number 1
loop_
_space_group_symop_operation_xyz
'x,y,z'
loop_
_atom_site_label
_atom_site_fract_x
_atom_site_fract_y
_atom_site_fract_z
Ir1 0.8620 0.0000 0.7296
Ir2 0.1380 0.0000 0.2704
Pt1 0.5000 0.5000 0.0000
Si1 0.5000 0.5000 0.5000
```

Formation energy without anion corrections (meV/atom): -207
Crystal system: monoclinic
M_tot (Bohr magnetons per cell): 0.0
E_tot (eV per cell): -223.24

***

Record 2
Si2Ir2Pt | SCAN | PBEsol geometry

CIF file:
```
data_Si2Ir2Pt
_chemical_formula_sum 'Si4 Ir4 Pt2'
_cell_length_a 2.7549
_cell_length_b 7.0792
_cell_length_c 7.0792
_cell_angle_alpha 90.00
_cell_angle_beta 90.00
_cell_angle_gamma 90.00
_space_group_name_H-M_alt 'P 1'
_space_group_IT_number 1
loop_
_space_group_symop_operation_xyz
'x,y,z'
loop_
_atom_site_label
_atom_site_fract_x
_atom_site_fract_y
_atom_site_fract_z
Si1 0.5000 0.1561 0.6561
Si2 0.5000 0.6561 0.8439
Si3 0.5000 0.8439 0.3439
Si4 0.5000 0.3439 0.1561
Ir1 0.0000 0.3582 0.8582
Ir2 0.0000 0.8582 0.6418
Ir3 0.0000 0.6418 0.1418
Ir4 0.0000 0.1418 0.3582
Pt1 0.0000 0.0000 0.0000
Pt2 0.0000 0.5000 0.5000
```

Formation energy without anion corrections (meV/atom): -512
Crystal system: tetragonal
M_tot (Bohr magnetons per cell): 0.0
E_tot (eV per cell): -469.96

***

Record 3
SrIr2Pt | SCAN | PBEsol geometry

CIF file:
```
data_SrIr2Pt
_chemical_formula_sum 'Sr1 Ir2 Pt1'
_cell_length_a 2.7827
_cell_length_b 4.9426
_cell_length_c 5.6875
_cell_angle_alpha 115.33
_cell_angle_beta 103.45
_cell_angle_gamma 91.58
_space_group_name_H-M_alt 'P 1'
_space_group_IT_number 1
loop_
_space_group_symop_operation_xyz
'x,y,z'
loop_
_atom_site_label
_atom_site_fract_x
_atom_site_fract_y
_atom_site_fract_z
Ir1 0.0000 0.0000 0.5000
Ir2 0.5000 0.5000 0.5000
Pt1 0.5000 0.0000 0.0000
Sr1 0.0000 0.5000 0.0000
```

Crystal system: monoclinic
Formation energy from the elements (eV/atom): 0.273
M_tot (Bohr magnetons per cell): 0.0
E_tot (eV per cell): -233.58

***

> Which value of M_tot does entry 2 give?

0.0 Bohr magnetons per cell

***

> Which value of E_tot does entry 2 give?

-469.96 eV per cell

***

> The highest E_tot belongs to which entry?

SiIr2Pt